{
  "formula": "CaNd4Rh4O12",
  "functional": "PBE-GGA",
  "state": "optimized geometry",
  "lattice_angstrom": [[6.3567, 0.0000, 0.0000], [0.0000, 7.5414, 0.0000], [-1.9587, 0.0000, 6.0917]],
  "species": ["Ca", "Nd", "Nd", "Nd", "Nd", "Rh", "Rh", "Rh", "Rh", "O", "O", "O", "O", "O", "O", "O", "O", "O", "O", "O", "O"],
  "frac_coords": [[0.0000, 0.0000, 0.0000], [0.3955, 0.5000, 0.5446], [0.4327, 0.0000, 0.7362], [0.7463, 0.0000, 0.3254], [0.8738, 0.5000, 0.1034], [0.4240, 0.2643, 0.1389], [0.4240, 0.7357, 0.1389], [0.9422, 0.2722, 0.6659], [0.9422, 0.7278, 0.6659], [0.0417, 0.0000, 0.6443], [0.1644, 0.3036, 0.2619], [0.1644, 0.6964, 0.2619], [0.2703, 0.3029, 0.8062], [0.2703, 0.6971, 0.8062], [0.3511, 0.0000, 0.0798], [0.5475, 0.5000, 0.2207], [0.5923, 0.2111, 0.5018], [0.5923, 0.7889, 0.5018], [0.6956, 0.1958, 0.0182], [0.6956, 0.8042, 0.0182], [0.8148, 0.5000, 0.7222]],
  "m_tot_mub_per_atom": 0.092,
  "dos_ef_per_ev_cell": 7.74,
  "crystal_system": "monoclinic",
  "dft_energy_ev_per_atom": -7.20,
  "raw_formation_energy_ev_per_fu": -41.14
}